Here is YBeB4 after structural relaxation from Alexandria via LeMat-Bulk. Energies are from PBE-GGA.

The structure belongs to space group Cmmm (No. 65); the cell edges are 7.240, 9.289 and 3.376 Å and the angles 90.00°, 90.00° and 90.00°. The inequivalent atoms are Y at (0.000, 0.198, 0.000), Be at (0.175, 0.500, 0.000), B at (0.000, 0.410, 0.500), B at (0.126, 0.000, 0.500) and B at (0.222, 0.343, 0.500).

The calculation puts the density of states at the Fermi level at 4.1 states/eV per cell. The calculation puts the electronic total energy at -158.09 eV for the cell shown. The value obtained for the calculated formation energy is -0.44 eV per atom.